1.
Compound: PaMnPdRu
Source: the Alexandria database
Functional: PBE
Structure: optimized geometry

```
PaMnPdRu
1.0
-4.216 1.441 -1.371
-2.453 -2.536 -3.046
-3.814 -2.282 1.405
Ru Pa Pd Mn
1 1 1 1
direct
0.750 0.750 0.750 Ru
0.000 0.000 0.000 Pa
0.250 0.250 0.250 Pd
0.500 0.500 0.500 Mn
```

M_tot = 3.9 μB per formula unit
DFT total energy = -8.48 eV/atom



2.
Compound: PaMn4Pd3S12
Source: the Alexandria database
Functional: PBE
Structure: optimized geometry

```
PaMn4Pd3S12
1.0
-1.026 6.763 -3.397
-2.818 -5.535 -4.444
-3.618 -0.046 6.726
Pa Mn Pd S
1 4 3 12
direct
0.000 0.000 0.000 Pa
0.500 0.000 0.000 Mn
0.500 0.500 0.500 Mn
0.000 0.500 0.000 Mn
0.000 0.000 0.500 Mn
0.000 0.500 0.500 Pd
0.500 0.500 0.000 Pd
0.500 0.000 0.500 Pd
0.294 0.831 0.124 S
0.706 0.169 0.876 S
0.706 0.831 0.537 S
0.876 0.706 0.169 S
0.831 0.124 0.294 S
0.169 0.463 0.294 S
0.463 0.294 0.169 S
0.169 0.876 0.706 S
0.294 0.169 0.463 S
0.124 0.294 0.831 S
0.831 0.537 0.706 S
0.537 0.706 0.831 S
```

M_tot = 11.9 μB per formula unit
DFT total energy = -6.17 eV/atom
Formation energy from raw total energies = -0.61 eV/atom